# 1
# Sr6IrN

Sr6IrN after structural relaxation (PBE, Alexandria via LeMat-Bulk).

Properties
DOS at the Fermi energy in states/eV/f.u.: 6.086
Energy relative to the elements, uncorrected in meV/atom: -234
V in Å³ per cell: 306

Unit cell a=7.0642 b=7.1342 c=7.3023 alpha=60.76 beta=81.52 gamma=72.42
Closest atoms and distances in Å follow each position.
Atoms (fractional coordinates):
Sr 0.7373 0.4213 0.7120  1 N 2.66, 1 Ir 2.92
Sr 0.7373 0.1333 0.2880  1 N 2.66, 1 Ir 2.92
Sr 0.2627 0.8667 0.7120  1 N 2.66, 1 Ir 2.92
Sr 0.2627 0.5787 0.2880  1 N 2.66, 1 Ir 2.92
Sr 0.7261 0.7429 0.0000  1 N 2.69
Sr 0.2739 0.2571 0.0000  1 N 2.69
Ir 0.0000 0.0000 0.0000  6 Sr 2.92-3.04
N 0.5000 0.5000 0.0000  6 Sr 2.66-2.69

# 2
# Sr3IrN3

Sr3IrN3 after structural relaxation (PBE, Alexandria via LeMat-Bulk).

Properties
DOS at the Fermi energy in states/eV/f.u.: 5.504
Energy relative to the elements, uncorrected in meV/atom: -514
V in Å³ per cell: 277

Unit cell a=7.7426 b=7.7426 c=5.3312 alpha=90.00 beta=90.00 gamma=120.00
Closest atoms and distances in Å follow each position.
Atoms (fractional coordinates):
Sr 0.6376 0.7335 0.7500  5 N 2.67-2.91
Sr 0.0958 0.3624 0.7500  5 N 2.67-2.91
Sr 0.2665 0.9042 0.7500  5 N 2.67-2.91
Sr 0.3624 0.2665 0.2500  5 N 2.67-2.91
Sr 0.9042 0.6376 0.2500  5 N 2.67-2.91
Sr 0.7335 0.0958 0.2500  5 N 2.67-2.91
Ir 0.3333 0.6667 0.2500  3 N 1.91
Ir 0.6667 0.3333 0.7500  3 N 1.91
N 0.5948 0.6999 0.2500  1 Ir 1.91
N 0.1051 0.4052 0.2500  1 Ir 1.91
N 0.3001 0.8949 0.2500  1 Ir 1.91
N 0.4052 0.3001 0.7500  1 Ir 1.91
N 0.8949 0.5948 0.7500  1 Ir 1.91
N 0.6999 0.1051 0.7500  1 Ir 1.91

# 3
# Sr4IrN4

Sr4IrN4 after structural relaxation (PBE, Alexandria via LeMat-Bulk).

Properties
DOS at the Fermi energy in states/eV/f.u.: 5.247
Energy relative to the elements, uncorrected in meV/atom: -374
V in Å³ per cell: 332

Unit cell a=6.3330 b=6.3485 c=9.1658 alpha=69.72 beta=80.50 gamma=74.57
Closest atoms and distances in Å follow each position.
Atoms (fractional coordinates):
Sr 0.7940 0.5666 0.1489  5 N 2.56-2.78
Sr 0.2060 0.4334 0.8511  5 N 2.56-2.78
Sr 0.7076 0.1672 0.9850  5 N 2.56-2.85
Sr 0.2924 0.8328 0.0150  5 N 2.56-2.85
Sr 0.7473 0.4358 0.5935  4 N 2.52-2.81
Sr 0.2527 0.5642 0.4065  4 N 2.52-2.81
Sr 0.2207 0.9722 0.6213  5 N 2.60-2.86
Sr 0.7793 0.0278 0.3787  5 N 2.60-2.86
Ir 0.7256 0.8300 0.7646  4 N 1.94-2.15
Ir 0.2744 0.1700 0.2354  4 N 1.94-2.15
N 0.9814 0.6866 0.6169  1 Ir 2.15
N 0.0186 0.3134 0.3831  1 Ir 2.15
N 0.9682 0.8480 0.8757  1 Ir 2.03
N 0.0318 0.1520 0.1243  1 Ir 2.03
N 0.5300 0.6292 0.7870  1 Ir 1.94
N 0.4700 0.3708 0.2130  1 Ir 1.94
N 0.4978 0.8913 0.2313  1 Ir 1.96
N 0.5022 0.1087 0.7687  1 Ir 1.96

# 4
# Sr8IrN2

Sr8IrN2 after structural relaxation (PBE, Alexandria via LeMat-Bulk).

Properties
DOS at the Fermi energy in states/eV/f.u.: 5.918
Energy relative to the elements, uncorrected in meV/atom: -246
V in Å³ per cell: 464

Unit cell a=6.9723 b=8.4435 c=8.4435 alpha=69.07 beta=91.24 gamma=91.24
Closest atoms and distances in Å follow each position.
Atoms (fractional coordinates):
Sr 0.2434 0.0796 0.7009  1 N 2.42
Sr 0.2434 0.7009 0.0796  1 N 2.42
Sr 0.7566 0.9204 0.2991  1 N 2.42
Sr 0.2679 0.6422 0.6422  1 N 2.32
Sr 0.7566 0.2991 0.9204  1 N 2.42
Sr 0.2764 0.1704 0.1704  1 N 2.40
Sr 0.7236 0.8296 0.8296  1 N 2.40
Sr 0.7321 0.3578 0.3578  1 N 2.32
Ir 0.0000 0.0000 0.0000  6 Sr 2.94-3.02
N 0.6170 0.1995 0.1995  4 Sr 2.32-2.42
N 0.3830 0.8005 0.8005  4 Sr 2.32-2.42

# 5
# SrTe2IrN

SrTe2IrN after structural relaxation (PBE, Alexandria via LeMat-Bulk).

Properties
DOS at the Fermi energy in states/eV/f.u.: 8.049
Energy relative to the elements, uncorrected in meV/atom: 1762
V in Å³ per cell: 152

Unit cell a=5.9949 b=5.9949 c=4.2212 alpha=90.00 beta=90.00 gamma=90.00
Closest atoms and distances in Å follow each position.
Atoms (fractional coordinates):
Sr 0.0000 0.0000 0.0000  2 N 2.11
Ir 0.5000 0.5000 0.5000  8 Te 3.67
Te 0.0000 0.5000 0.0000  2 Sr 3.00
Te 0.5000 0.0000 0.0000  2 Sr 3.00
N 0.0000 0.0000 0.5000  2 Sr 2.11

# 6
# Sr2TeIrN

Sr2TeIrN after structural relaxation (PBE, Alexandria via LeMat-Bulk).

Properties
DOS at the Fermi energy in states/eV/f.u.: 3.029
Energy relative to the elements, uncorrected in meV/atom: -713
V in Å³ per cell: 134

Unit cell a=5.9318 b=5.9318 c=3.8158 alpha=90.00 beta=90.00 gamma=90.00
Closest atoms and distances in Å follow each position.
Atoms (fractional coordinates):
Sr 0.0000 0.5000 0.0000  2 Ir 2.97
Sr 0.5000 0.0000 0.0000  2 Ir 2.97
Ir 0.0000 0.0000 0.0000  2 N 1.91
Te 0.5000 0.5000 0.5000  8 Sr 3.53, 2 Te 3.82
N 0.0000 0.0000 0.5000  2 Ir 1.91

Question: Which formula does entry 3 have?
Answer: Sr4IrN4